1.
A plane-wave DFT calculation with PBE was carried out for PmCu4Sn after structural relaxation.

Summary:
* uncorrected energy: -0.161 Ha/atom
* calculated formation energy: -1.10 eV per formula unit
* space group: F-43m

a b c (Å): 5.2123 5.2123 5.2123
angles (deg): 60.00 60.00 60.00
Element x y z (fractional)
Sn (0.0000, 0.0000, 0.0000)
Cu (0.6251, 0.6251, 0.1248)
Cu (0.6251, 0.1248, 0.6251)
Cu (0.6251, 0.6251, 0.6251)
Cu (0.1248, 0.6251, 0.6251)
Pm (0.2500, 0.2500, 0.2500)

=====

2.
A plane-wave DFT calculation with PBE was carried out for Sn2TeAs after structural relaxation.

Summary:
* uncorrected energy: -0.150 Ha/atom
* raw formation energy: -138.8 meV/atom
* relative energy among the computed polymorphs: 0.01 eV/f.u.
* space group: P-3m1

a b c (Å): 4.2696 4.2696 21.3895
angles (deg): 90.00 90.00 120.00
Element x y z (fractional)
Sn (0.3333, 0.6667, 0.9251)
Sn (0.6667, 0.3333, 0.0749)
Sn (0.3333, 0.6667, 0.4080)
Sn (0.6667, 0.3333, 0.5920)
Sn (0.0000, 0.0000, 0.7768)
Sn (0.0000, 0.0000, 0.2232)
Te (0.3333, 0.6667, 0.6813)
Te (0.6667, 0.3333, 0.3187)
Te (0.0000, 0.0000, 0.5000)
As (0.6667, 0.3333, 0.8469)
As (0.3333, 0.6667, 0.1531)
As (0.0000, 0.0000, 0.0000)

=====

3.
A plane-wave DFT calculation with PBE was carried out for CaCuP2O after structural relaxation.

Summary:
* uncorrected energy: -0.165 Ha/atom
* raw formation energy: -120.4 meV/atom
* relative energy among the computed polymorphs: 0.00 eV/f.u.
* space group: P4/mmm

a b c (Å): 4.8357 4.8357 3.6620
angles (deg): 90.00 90.00 90.00
Element x y z (fractional)
P (0.0000, 0.5000, 0.0000)
P (0.5000, 0.0000, 0.0000)
Ca (0.5000, 0.5000, 0.5000)
O (0.0000, 0.0000, 0.5000)
Cu (0.0000, 0.0000, 0.0000)

=====

4.
A plane-wave DFT calculation with PBE was carried out for PmPaIn after structural relaxation.

Summary:
* uncorrected energy: -0.204 Ha/atom
* relative energy among the computed polymorphs: 0.00 eV/f.u.
* calculated formation energy: 0.37 eV per formula unit
* space group: I4mm

a b c (Å): 4.0807 4.0807 5.7681
angles (deg): 110.72 110.72 90.00
Element x y z (fractional)
Pa (0.2920, 0.2920, 0.5840)
Pm (0.6078, 0.6078, 0.2155)
In (0.9502, 0.9502, 0.9005)

=====

Q: Among the records above, which one has the lowest uncorrected energy?
A: PmPaIn

=====

Q: What is the formula in the third record?
A: CaCuP2O

=====

Q: Among the records above, which one has the lowest uncorrected energy?
A: PmPaIn

=====

Q: uncorrected energy of number 3 (CaCuP2O)?
A: -0.165 Ha/atom